[1]
Material: TiPt2WC
Method: DFT, PBE
State: relaxed

```
data_TiPt2WC
_cell_length_a 4.611
_cell_length_b 4.611
_cell_length_c 4.657
_cell_angle_alpha 90.00
_cell_angle_beta 90.00
_cell_angle_gamma 90.00
_space_group_name_H-M_alt 'P 4/m m m'
_space_group_IT_number 123
_space_group_name_Hall '-P 4 2'
loop_
_atom_site_label
_atom_site_type_symbol
_atom_site_fract_x
_atom_site_fract_y
_atom_site_fract_z
Ti1 Ti 0.000 0.000 0.000
Pt1 Pt 0.000 0.500 0.000
W1 W 0.000 0.000 0.500
C1 C 0.500 0.500 0.500
```

***

[2]
Material: ZrTi2PtC
Method: DFT, PBE
State: relaxed

```
data_ZrTi2PtC
_cell_length_a 4.169
_cell_length_b 4.169
_cell_length_c 4.486
_cell_angle_alpha 90.00
_cell_angle_beta 90.00
_cell_angle_gamma 90.00
_space_group_name_H-M_alt 'P 4/m m m'
_space_group_IT_number 123
_space_group_name_Hall '-P 4 2'
loop_
_atom_site_label
_atom_site_type_symbol
_atom_site_fract_x
_atom_site_fract_y
_atom_site_fract_z
Zr1 Zr 0.000 0.000 0.000
Ti1 Ti 0.000 0.500 0.500
Pt1 Pt 0.500 0.500 0.000
C1 C 0.000 0.000 0.500
```

***

[3]
# PBE TlPtC2, relaxed
data_TlPtC2
_cell_length_a 5.168
_cell_length_b 5.168
_cell_length_c 9.835
_cell_angle_alpha 90.00
_cell_angle_beta 90.00
_cell_angle_gamma 90.00
_space_group_name_H-M_alt 'I -4 2 d'
_space_group_IT_number 122
_space_group_name_Hall 'I -4 2bw'
loop_
_atom_site_label
_atom_site_type_symbol
_atom_site_fract_x
_atom_site_fract_y
_atom_site_fract_z
Tl1 Tl 0.000 0.000 0.000
Pt1 Pt 0.000 0.000 0.500
C1 C 0.176 0.250 0.625
# E above lowest polymorph	0	meV per atom

***

[4]
# PBE TlPt2C, relaxed
data_TlPt2C
_cell_length_a 6.362
_cell_length_b 6.362
_cell_length_c 6.362
_cell_angle_alpha 90.00
_cell_angle_beta 90.00
_cell_angle_gamma 90.00
_space_group_name_H-M_alt 'F m -3 m'
_space_group_IT_number 225
_space_group_name_Hall '-F 4 2 3'
loop_
_atom_site_label
_atom_site_type_symbol
_atom_site_fract_x
_atom_site_fract_y
_atom_site_fract_z
Tl1 Tl 0.000 0.000 0.000
Pt1 Pt 0.250 0.250 0.250
C1 C 0.000 0.000 0.500
# E above lowest polymorph	1039	meV per atom

***

[5]
# PBE TlPt2C, relaxed
data_TlPt2C
_cell_length_a 6.383
_cell_length_b 6.383
_cell_length_c 7.201
_cell_angle_alpha 90.00
_cell_angle_beta 90.00
_cell_angle_gamma 90.00
_space_group_name_H-M_alt 'I -4 2 d'
_space_group_IT_number 122
_space_group_name_Hall 'I -4 2bw'
loop_
_atom_site_label
_atom_site_type_symbol
_atom_site_fract_x
_atom_site_fract_y
_atom_site_fract_z
Tl1 Tl 0.000 0.000 0.000
Pt1 Pt 0.123 0.250 0.625
C1 C 0.000 0.000 0.500
# E above lowest polymorph	0	meV per atom

***

[6]
# PBE TlPtC2, relaxed
data_TlPtC2
_cell_length_a 5.950
_cell_length_b 5.950
_cell_length_c 5.950
_cell_angle_alpha 90.00
_cell_angle_beta 90.00
_cell_angle_gamma 90.00
_space_group_name_H-M_alt 'F m -3 m'
_space_group_IT_number 225
_space_group_name_Hall '-F 4 2 3'
loop_
_atom_site_label
_atom_site_type_symbol
_atom_site_fract_x
_atom_site_fract_y
_atom_site_fract_z
Tl1 Tl 0.000 0.000 0.000
Pt1 Pt 0.000 0.000 0.500
C1 C 0.250 0.250 0.250
# E above lowest polymorph	842	meV per atom

***

[7]
Material: Tm12Pt3C5
Method: DFT, PBE
State: relaxed

```
data_Tm12Pt3C5
_cell_length_a 15.243
_cell_length_b 15.243
_cell_length_c 15.243
_cell_angle_alpha 90.00
_cell_angle_beta 90.00
_cell_angle_gamma 90.00
_space_group_name_H-M_alt 'I a -3 d'
_space_group_IT_number 230
_space_group_name_Hall '-I 4bd 2c 3'
loop_
_atom_site_label
_atom_site_type_symbol
_atom_site_fract_x
_atom_site_fract_y
_atom_site_fract_z
Tm1 Tm 0.030 0.055 0.651
Pt1 Pt 0.000 0.250 0.125
C1 C 0.000 0.000 0.000
C2 C 0.000 0.250 0.375
```

***

[8]
# PBE Tm3PtC, relaxed
data_Tm3PtC
_cell_length_a 8.464
_cell_length_b 3.612
_cell_length_c 13.558
_cell_angle_alpha 90.00
_cell_angle_beta 90.00
_cell_angle_gamma 90.00
_space_group_name_H-M_alt 'P n m a'
_space_group_IT_number 62
loop_
_space_group_symop_operation_xyz
'x,y,z'
'-x,-y,-z'
'-x+1/2,-y,z+1/2'
'x+1/2,y,-z+1/2'
'x+1/2,-y+1/2,-z+1/2'
'-x+1/2,y+1/2,z+1/2'
'-x,y+1/2,-z'
'x,-y+1/2,z'
loop_
_atom_site_label
_atom_site_type_symbol
_atom_site_fract_x
_atom_site_fract_y
_atom_site_fract_z
Tm1 Tm 0.002 0.250 0.106
Tm2 Tm 0.175 0.250 0.533
Tm3 Tm 0.188 0.750 0.304
Pt1 Pt 0.097 0.750 0.688
C1 C 0.161 0.250 0.953
# E above lowest polymorph	0	meV per atom

***

[9]
# PBE Tm3PtC, relaxed
data_Tm3PtC
_cell_length_a 4.719
_cell_length_b 4.719
_cell_length_c 4.719
_cell_angle_alpha 90.00
_cell_angle_beta 90.00
_cell_angle_gamma 90.00
_space_group_name_H-M_alt 'P m -3 m'
_space_group_IT_number 221
_space_group_name_Hall '-P 4 2 3'
loop_
_atom_site_label
_atom_site_type_symbol
_atom_site_fract_x
_atom_site_fract_y
_atom_site_fract_z
Tm1 Tm 0.000 0.000 0.500
Pt1 Pt 0.500 0.500 0.500
C1 C 0.000 0.000 0.000
# E above lowest polymorph	159	meV per atom

***

[10]
Material: Tm4PtC2
Method: DFT, PBE
State: relaxed

```
data_Tm4PtC2
_cell_length_a 3.617
_cell_length_b 11.941
_cell_length_c 12.481
_cell_angle_alpha 90.00
_cell_angle_beta 90.00
_cell_angle_gamma 90.00
_space_group_name_H-M_alt 'C m c m'
_space_group_IT_number 63
_space_group_name_Hall '-C 2c 2'
loop_
_atom_site_label
_atom_site_type_symbol
_atom_site_fract_x
_atom_site_fract_y
_atom_site_fract_z
Tm1 Tm 0.000 0.000 0.000
Tm2 Tm 0.000 0.268 0.107
Tm3 Tm 0.000 0.433 0.750
Pt1 Pt 0.000 0.112 0.750
C1 C 0.000 0.365 0.561
```

***

Number 1: formation energy 2.478 eV/atom, D(E_F) 5.52 states/eV/f.u.. Number 2: formation energy -0.713 eV/atom, D(E_F) 5.32 states/eV/f.u.. Number 3: formation energy 1.416 eV/atom, D(E_F) 2.53 states/eV/f.u.. Number 4: formation energy 1.444 eV/atom, D(E_F) 2.33 states/eV/f.u.. Number 5: formation energy 0.405 eV/atom, D(E_F) 1.74 states/eV/f.u.. Number 6: formation energy 2.258 eV/atom, D(E_F) 1.92 states/eV/f.u.. Number 7: formation energy -0.475 eV/atom, D(E_F) 15.91 states/eV/f.u.. Number 8: formation energy -0.729 eV/atom, D(E_F) 3.10 states/eV/f.u.. Number 9: formation energy -0.570 eV/atom, D(E_F) 3.50 states/eV/f.u.. Number 10: formation energy -0.575 eV/atom, D(E_F) 5.95 states/eV/f.u..